1.
Pu2TlPt9 | GGA-PBE | optimized geometry Values from VASP.

crystal system: tetragonal
calculated formation energy: -0.490 eV/atom
DFT total energy: -7.607 eV/atom
space-group type: No. 123

Structure (Quantum ESPRESSO input):
```
&SYSTEM
  ibrav = 0, nat = 12, ntyp = 3
/
ATOMIC_SPECIES
Pt 195.08 Pt.upf
Pu 244.00 Pu.upf
Tl 204.38 Tl.upf
CELL_PARAMETERS angstrom
4.1366 0.0000 0.0000
0.0000 4.1366 0.0000
0.0000 0.0000 12.3957
ATOMIC_POSITIONS crystal
Pt 0.5000 0.0000 0.1677
Pt 0.0000 0.5000 0.5000
Pt 0.0000 0.5000 0.1677
Pt 0.5000 0.5000 0.6693
Pt 0.5000 0.5000 0.3307
Pt 0.5000 0.5000 0.0000
Pt 0.0000 0.5000 0.8323
Pt 0.5000 0.0000 0.8323
Pt 0.5000 0.0000 0.5000
Pu 0.0000 0.0000 0.6680
Pu 0.0000 0.0000 0.3320
Tl 0.0000 0.0000 0.0000
```

---

2.
SrCeEr2Se4 | GGA-PBE | optimized geometry Values from VASP.

crystal system: monoclinic
DFT total energy: -5.630 eV/atom
space-group type: No. 10
formation energy without anion corrections: -1.795 eV per atom

Structure (Quantum ESPRESSO input):
```
&SYSTEM
  ibrav = 0, nat = 8, ntyp = 4
/
ATOMIC_SPECIES
Se 78.96 Se.upf
Sr 87.62 Sr.upf
Ce 140.12 Ce.upf
Er 167.26 Er.upf
CELL_PARAMETERS angstrom
4.1357 0.0000 0.0000
0.0000 7.2486 -0.1719
0.0000 2.5239 6.7844
ATOMIC_POSITIONS crystal
Se 0.0000 0.2324 0.2541
Se 0.5000 0.2302 0.7592
Se 0.5000 0.7698 0.2408
Se 0.0000 0.7676 0.7459
Sr 0.0000 0.5000 0.5000
Ce 0.5000 0.5000 0.0000
Er 0.0000 0.0000 0.0000
Er 0.5000 0.0000 0.5000
```

---

3.
GdDyCdTc | GGA-PBE | optimized geometry Values from VASP.

crystal system: cubic
calculated formation energy: -0.079 eV/atom
DFT total energy: -7.570 eV/atom
space-group type: No. 216

Structure (Quantum ESPRESSO input):
```
&SYSTEM
  ibrav = 0, nat = 4, ntyp = 4
/
ATOMIC_SPECIES
Dy 162.50 Dy.upf
Tc 98.00 Tc.upf
Gd 157.25 Gd.upf
Cd 112.41 Cd.upf
CELL_PARAMETERS angstrom
5.0620 0.0000 0.0000
2.5310 4.3839 0.0000
2.5310 1.4613 4.1331
ATOMIC_POSITIONS crystal
Dy 0.2500 0.2500 0.2500
Tc 0.5000 0.5000 0.5000
Gd 0.7500 0.7500 0.7500
Cd 0.0000 0.0000 0.0000
```

---

4.
NaCa2Ho3Te6 | GGA-PBE | optimized geometry Values from VASP.

crystal system: monoclinic
DFT total energy: -4.558 eV/atom
space-group type: No. 12
formation energy without anion corrections: -1.400 eV per atom

Structure (Quantum ESPRESSO input):
```
&SYSTEM
  ibrav = 0, nat = 12, ntyp = 4
/
ATOMIC_SPECIES
Ho 164.93 Ho.upf
Te 127.60 Te.upf
Ca 40.08 Ca.upf
Na 22.99 Na.upf
CELL_PARAMETERS angstrom
-4.0759 0.8987 -1.3168
-2.9052 -7.5418 3.8455
1.3025 6.3401 7.5687
ATOMIC_POSITIONS crystal
Ho 0.8338 0.1689 0.6676
Ho 0.1662 0.8311 0.3324
Ho 0.5000 0.5000 0.0000
Te 0.3341 0.4147 0.6682
Te 0.6689 0.0768 0.3378
Te 0.0026 0.7443 0.0051
Te 0.3311 0.9232 0.6622
Te 0.6659 0.5853 0.3318
Te 0.9974 0.2557 0.9949
Ca 0.1646 0.3286 0.3291
Ca 0.8354 0.6714 0.6709
Na 0.5000 0.0000 0.0000
```

---

5.
NaS2Cl2O6 | GGA-PBE | optimized geometry Values from VASP.

crystal system: trigonal
DFT total energy: -5.002 eV/atom
space-group type: No. 164
formation energy without anion corrections: -1.092 eV per atom

Structure (Quantum ESPRESSO input):
```
&SYSTEM
  ibrav = 0, nat = 11, ntyp = 4
/
ATOMIC_SPECIES
O 16.00 O.upf
Cl 35.45 Cl.upf
Na 22.99 Na.upf
S 32.06 S.upf
CELL_PARAMETERS angstrom
6.1385 0.0000 0.0000
-3.0693 5.3161 0.0000
0.0000 0.0000 6.7479
ATOMIC_POSITIONS crystal
O 0.7992 0.2009 0.1718
O 0.7991 0.5983 0.1718
O 0.2009 0.4017 0.8282
O 0.2008 0.7991 0.8282
O 0.4017 0.2008 0.1718
O 0.5983 0.7992 0.8282
Cl 0.3333 0.6667 0.4683
Cl 0.6667 0.3333 0.5317
Na 0.0000 0.0000 0.0000
S 0.3333 0.6667 0.7734
S 0.6667 0.3333 0.2266
```

---

6.
Y3Rh | GGA-PBE | optimized geometry Values from VASP.

crystal system: hexagonal
calculated formation energy: -0.296 eV/atom
DFT total energy: -6.982 eV/atom
space-group type: No. 187

Structure (Quantum ESPRESSO input):
```
&SYSTEM
  ibrav = 0, nat = 4, ntyp = 2
/
ATOMIC_SPECIES
Y 88.91 Y.upf
Rh 102.91 Rh.upf
CELL_PARAMETERS angstrom
-0.5266 3.0791 2.0478
-2.9149 -2.1367 -0.9433
1.1495 -5.0530 7.8935
ATOMIC_POSITIONS crystal
Y 0.3333 0.6667 0.1903
Y 0.3333 0.6667 0.8097
Y 0.0000 0.0000 0.5000
Rh 0.0000 0.0000 0.0000
```

---

- What is the DFT total energy in the fourth record?
  -4.558 eV/atom

---

- Number 4 is which compound?
  NaCa2Ho3Te6